(1)
This record from Alexandria via LeMat-Bulk describes a relaxed PaAsIrN crystal. The functional is PBE.

Geometry as POSCAR:
```
PaAsIrN
1.0
4.005 0.000 0.000
0.000 4.005 0.000
0.000 0.000 8.108
As Pa N Ir
2 2 2 2
direct
0.000 0.500 0.819
0.500 0.000 0.181
0.500 0.000 0.644
0.000 0.500 0.356
0.000 0.000 0.500
0.500 0.500 0.500
0.500 0.500 0.000
0.000 0.000 0.000
```

Computed properties:
Formation energy (no corrections) = -440 kJ/mol of formula units
Calculated volume = 16.3 Å³/atom
DFT total energy = -8.972 eV/atom
Space-group type = P4/nmm, No. 129

(2)
This record from Alexandria via LeMat-Bulk describes a relaxed RbScHgSe3 crystal. The functional is PBE.

Geometry as POSCAR:
```
RbScHgSe3
1.0
-2.730 -0.620 3.048
-6.537 -0.776 -6.014
4.257 -9.248 1.932
Sc Rb Hg Se
2 2 2 6
direct
0.750 0.334 0.871
0.250 0.666 0.129
0.750 0.773 0.747
0.250 0.227 0.253
0.250 0.085 0.616
0.750 0.915 0.384
0.250 0.531 0.858
0.750 0.251 0.561
0.750 0.878 0.123
0.250 0.122 0.877
0.750 0.469 0.142
0.250 0.749 0.439
```

Computed properties:
Formation energy (no corrections) = -634 kJ/mol of formula units
Calculated volume = 29.9 Å³/atom
DFT total energy = -4.104 eV/atom
Space-group type = P2_1/m, No. 11

(3)
This record from Alexandria via LeMat-Bulk describes a relaxed AcSmCdRh crystal. The functional is PBE.

Geometry as POSCAR:
```
AcSmCdRh
1.0
-3.392 3.281 -2.496
-1.950 -1.318 -4.792
-5.139 -1.356 -0.510
Sm Ac Cd Rh
1 1 1 1
direct
0.000 0.000 0.000
0.500 0.500 0.500
0.750 0.750 0.750
0.250 0.250 0.250
```

Computed properties:
Calculated volume = 26.9 Å³/atom
DFT total energy = -4.641 eV/atom
Space-group type = F-43m, No. 216
ΔE_f = -0.37 eV/atom

(4)
This record from Alexandria via LeMat-Bulk describes a relaxed LaPrPuIn crystal. The functional is PBE.

Geometry as POSCAR:
```
LaPrPuIn
1.0
5.582 0.000 0.000
2.791 4.834 0.000
2.791 1.611 4.557
In Pu Pr La
1 1 1 1
direct
0.000 0.000 0.000
0.500 0.500 0.500
0.750 0.750 0.750
0.250 0.250 0.250
```

Computed properties:
Calculated volume = 30.7 Å³/atom
DFT total energy = -6.776 eV/atom
Space-group type = F-43m, No. 216
ΔE_f = -0.08 eV/atom

(5)
This record from Alexandria via LeMat-Bulk describes a relaxed SnAsSe2F crystal. The functional is PBE.

Geometry as POSCAR:
```
SnAsSe2F
1.0
5.058 0.000 0.000
0.000 4.458 0.000
0.000 0.000 5.058
Se Sn F As
2 1 1 1
direct
0.500 0.000 0.000
0.000 0.000 0.500
0.000 0.500 0.000
0.000 0.000 0.000
0.500 0.500 0.500
```

Computed properties:
Formation energy (no corrections) = 113 kJ/mol of formula units
Excess energy over the best structure of this formula in the dataset = 190.5 meV per atom
Calculated volume = 22.8 Å³/atom
DFT total energy = -3.264 eV/atom
Space-group type = P4/mmm, No. 123

(6)
This record from Alexandria via LeMat-Bulk describes a relaxed CrCdRe2 crystal. The functional is PBE.

Geometry as POSCAR:
```
CrCdRe2
1.0
4.452 0.000 0.000
2.226 3.856 0.000
2.226 1.285 3.635
Re Cd Cr
2 1 1
direct
0.250 0.250 0.250
0.000 0.000 0.000
0.500 0.500 0.500
0.750 0.750 0.750
```

Computed properties:
Calculated volume = 15.6 Å³/atom
DFT total energy = -8.285 eV/atom
Space-group type = F-43m, No. 216
ΔE_f = 0.57 eV/atom

(7)
This record from Alexandria via LeMat-Bulk describes a relaxed SeBr3F crystal. The functional is PBE.

Geometry as POSCAR:
```
SeBr3F
1.0
-1.939 3.164 4.549
-10.208 -0.955 -3.687
4.609 -9.088 8.287
Br F Se
12 4 4
direct
0.591 0.672 0.333
0.752 0.001 0.592
0.486 0.719 0.630
0.986 0.781 0.870
0.014 0.219 0.130
0.748 0.501 0.092
0.909 0.172 0.833
0.248 0.999 0.408
0.252 0.499 0.908
0.409 0.328 0.667
0.091 0.828 0.167
0.514 0.281 0.370
0.629 0.788 0.046
0.371 0.212 0.954
0.871 0.288 0.546
0.129 0.712 0.454
0.388 0.817 0.508
0.888 0.683 0.992
0.612 0.183 0.492
0.112 0.317 0.008
```

Computed properties:
Formation energy (no corrections) = -232 kJ/mol of formula units
Excess energy over the best structure of this formula in the dataset = 0.0 meV per atom
Calculated volume = 36.8 Å³/atom
DFT total energy = -2.557 eV/atom
Space-group type = P2_1/c, No. 14

(8)
This record from Alexandria via LeMat-Bulk describes a relaxed USe2I8 crystal. The functional is PBE.

Geometry as POSCAR:
```
USe2I8
1.0
0.982 4.791 4.075
2.014 -4.234 8.624
9.169 3.071 -1.691
I U Se
8 1 2
direct
0.777 0.244 0.244
0.240 0.796 0.201
0.240 0.201 0.796
0.760 0.204 0.799
0.777 0.578 0.578
0.223 0.422 0.422
0.760 0.799 0.204
0.223 0.756 0.756
0.000 0.000 0.000
0.651 0.913 0.913
0.349 0.087 0.087
```

Computed properties:
Formation energy (no corrections) = -252 kJ/mol of formula units
Calculated volume = 50.9 Å³/atom
DFT total energy = -3.024 eV/atom
Space-group type = C2/m, No. 12

(9)
This record from Alexandria via LeMat-Bulk describes a relaxed KHf2Te4 crystal. The functional is PBE.

Geometry as POSCAR:
```
KHf2Te4
1.0
4.021 0.000 0.584
1.968 3.507 0.584
-0.226 -0.133 15.687
Te Hf K
4 2 1
direct
0.279 0.279 0.164
0.721 0.721 0.836
0.129 0.129 0.612
0.871 0.871 0.388
0.574 0.574 0.279
0.426 0.426 0.721
0.000 0.000 0.000
```

Computed properties:
Formation energy (no corrections) = -584 kJ/mol of formula units
Excess energy over the best structure of this formula in the dataset = 0.0 meV per atom
Calculated volume = 31.7 Å³/atom
DFT total energy = -5.660 eV/atom
Space-group type = R-3m, No. 166

(10)
This record from Alexandria via LeMat-Bulk describes a relaxed Nd3Tm2Th crystal. The functional is PBE.

Geometry as POSCAR:
```
Nd3Tm2Th
1.0
3.583 0.000 0.587
1.001 9.877 5.112
-0.009 -0.013 11.275
Nd Th Tm
6 2 4
direct
0.269 0.849 0.612
0.058 0.310 0.574
0.731 0.151 0.388
0.942 0.690 0.426
0.613 0.515 0.259
0.387 0.485 0.741
0.608 0.009 0.774
0.392 0.991 0.226
0.056 0.822 0.067
0.720 0.650 0.910
0.280 0.350 0.090
0.944 0.178 0.933
```

Computed properties:
Excess energy over the best structure of this formula in the dataset = 0.0 meV per atom
Calculated volume = 33.3 Å³/atom
DFT total energy = -5.065 eV/atom
Space-group type = C2/m, No. 12
ΔE_f = 0.05 eV/atom

(11)
This record from Alexandria via LeMat-Bulk describes a relaxed HoLu2Ag crystal. The functional is PBE.

Geometry as POSCAR:
```
HoLu2Ag
1.0
3.494 0.000 0.000
0.000 3.494 0.000
0.000 0.000 8.726
Ag Lu Ho
1 2 1
direct
0.500 0.500 0.000
0.000 0.000 0.786
0.000 0.000 0.214
0.500 0.500 0.500
```

Computed properties:
Excess energy over the best structure of this formula in the dataset = 0.0 meV per atom
Calculated volume = 26.6 Å³/atom
DFT total energy = -4.255 eV/atom
Space-group type = P4/mmm, No. 123
ΔE_f = -0.14 eV/atom

(12)
This record from Alexandria via LeMat-Bulk describes a relaxed Tm5Ag2Sb crystal. The functional is PBE.

Geometry as POSCAR:
```
Tm5Ag2Sb
1.0
-5.654 -2.278 -5.141
-4.438 -2.667 6.064
2.236 8.304 0.046
Tm Sb Ag
10 2 4
direct
0.000 0.000 0.000
0.506 0.698 0.704
0.802 0.994 0.296
0.994 0.494 0.296
0.698 0.198 0.704
0.006 0.506 0.704
0.302 0.802 0.296
0.500 0.500 0.000
0.494 0.302 0.296
0.198 0.006 0.704
0.750 0.750 0.500
0.250 0.250 0.500
0.865 0.635 0.000
0.635 0.135 0.000
0.365 0.865 0.000
0.135 0.365 0.000
```

Computed properties:
Formation energy (no corrections) = -339 kJ/mol of formula units
Calculated volume = 25.8 Å³/atom
DFT total energy = -4.463 eV/atom
Space-group type = I4/mcm, No. 140

(13)
This record from Alexandria via LeMat-Bulk describes a relaxed Ba2AgBiO6 crystal. The functional is PBE.

Geometry as POSCAR:
```
Ba2AgBiO6
1.0
5.614 0.000 -0.127
0.000 5.789 0.000
-0.183 0.000 10.560
O Ba Ag Bi
12 4 2 2
direct
0.432 0.000 0.693
0.068 0.500 0.807
0.932 0.500 0.193
0.568 0.000 0.307
0.266 0.759 0.064
0.766 0.741 0.564
0.265 0.240 0.063
0.234 0.259 0.436
0.735 0.760 0.937
0.734 0.241 0.936
0.765 0.260 0.563
0.235 0.740 0.437
0.476 0.500 0.256
0.024 0.000 0.244
0.976 0.000 0.756
0.524 0.500 0.744
0.000 0.500 0.500
0.500 0.000 0.000
0.000 0.500 0.000
0.500 0.000 0.500
```

Computed properties:
Formation energy (no corrections) = -1411 kJ/mol of formula units
Calculated volume = 17.2 Å³/atom
DFT total energy = -5.495 eV/atom
Space-group type = C2/m, No. 12

(14)
This record from Alexandria via LeMat-Bulk describes a relaxed AsPPt4 crystal. The functional is PBE.

Geometry as POSCAR:
```
AsPPt4
1.0
3.652 -1.234 -3.631
2.733 -4.516 0.422
-0.884 -3.958 -3.405
As Pt P
1 4 1
direct
0.750 0.750 0.750
0.375 0.375 0.375
0.875 0.375 0.375
0.375 0.375 0.875
0.375 0.875 0.375
0.000 0.000 0.000
```

Computed properties:
Calculated volume = 17.5 Å³/atom
DFT total energy = -5.250 eV/atom
Space-group type = F-43m, No. 216
ΔE_f = 0.45 eV/atom

(15)
This record from Alexandria via LeMat-Bulk describes a relaxed SrCoTc crystal. The functional is PBE.

Geometry as POSCAR:
```
SrCoTc
1.0
-2.252 1.339 -2.930
-1.663 -1.467 3.245
0.033 9.154 4.157
Sr Co Tc
2 2 2
direct
0.000 0.000 0.500
0.000 0.000 0.000
0.333 0.667 0.750
0.667 0.333 0.250
0.667 0.333 0.750
0.333 0.667 0.250
```

Computed properties:
Excess energy over the best structure of this formula in the dataset = 165.7 meV per atom
Calculated volume = 22.4 Å³/atom
DFT total energy = -5.946 eV/atom
Space-group type = P6_3/mmc, No. 194
ΔE_f = 0.44 eV/atom

(16)
This record from Alexandria via LeMat-Bulk describes a relaxed FeHgP2N crystal. The functional is PBE.

Geometry as POSCAR:
```
FeHgP2N
1.0
3.850 0.000 0.000
0.000 5.391 0.000
0.000 0.000 3.850
P N Hg Fe
2 1 1 1
direct
0.000 0.000 0.500
0.500 0.000 0.000
0.000 0.000 0.000
0.000 0.500 0.000
0.500 0.500 0.500
```

Computed properties:
Formation energy (no corrections) = 557 kJ/mol of formula units
Calculated volume = 16.0 Å³/atom
DFT total energy = -4.427 eV/atom
Space-group type = P4/mmm, No. 123

(17)
This record from Alexandria via LeMat-Bulk describes a relaxed TbPmDy3Th crystal. The functional is PBE.

Geometry as POSCAR:
```
TbPmDy3Th
1.0
-0.522 3.278 4.546
-0.392 -9.738 3.494
6.922 -0.100 0.867
Dy Pm Th Tb
6 2 2 2
direct
0.221 0.441 0.245
0.779 0.559 0.755
0.840 0.681 0.257
0.160 0.319 0.743
0.478 0.956 0.253
0.522 0.044 0.747
0.645 0.291 0.041
0.355 0.709 0.959
0.944 0.888 0.724
0.056 0.112 0.276
0.350 0.700 0.532
0.650 0.300 0.468
```

Computed properties:
Calculated volume = 32.6 Å³/atom
DFT total energy = -4.886 eV/atom
Space-group type = C2/m, No. 12
ΔE_f = 0.22 eV/atom

(18)
This record from Alexandria via LeMat-Bulk describes a relaxed TaAlIr crystal. The functional is PBE.

Geometry as POSCAR:
```
TaAlIr
1.0
-1.465 -1.781 3.598
1.191 -3.965 1.059
2.639 -0.628 3.302
Ta Al Ir
1 1 1
direct
0.000 0.000 0.000
0.500 0.500 0.500
0.750 0.750 0.750
```

Computed properties:
Calculated volume = 18.4 Å³/atom
DFT total energy = -8.684 eV/atom
Space-group type = F-43m, No. 216
ΔE_f = -0.53 eV/atom

(19)
This record from Alexandria via LeMat-Bulk describes a relaxed NaMgTc3 crystal. The functional is PBE.

Geometry as POSCAR:
```
NaMgTc3
1.0
-3.665 -1.732 2.135
2.607 -3.320 1.782
0.873 2.640 3.641
Tc Mg Na
3 1 1
direct
0.500 0.000 0.000
0.000 0.000 0.500
0.000 0.500 0.000
0.500 0.500 0.500
0.000 0.000 0.000
```

Computed properties:
Excess energy over the best structure of this formula in the dataset = 213.6 meV per atom
Calculated volume = 19.2 Å³/atom
DFT total energy = -4.498 eV/atom
Space-group type = Pm-3m, No. 221
ΔE_f = 2.30 eV/atom

(20)
This record from Alexandria via LeMat-Bulk describes a relaxed Hf2ScN2 crystal. The functional is PBE.

Geometry as POSCAR:
```
Hf2ScN2
1.0
-3.451 -1.883 -1.603
1.832 -3.795 0.513
-2.863 -3.179 4.276
Hf N Sc
2 2 1
direct
0.250 0.750 0.500
0.750 0.250 0.500
0.203 0.203 0.595
0.797 0.797 0.405
0.000 0.000 0.000
```

Computed properties:
Formation energy (no corrections) = -502 kJ/mol of formula units
Excess energy over the best structure of this formula in the dataset = 428.8 meV per atom
Calculated volume = 18.9 Å³/atom
DFT total energy = -9.618 eV/atom
Space-group type = I4/mmm, No. 139

Number 1: mass density 13.1 g cm⁻³. Number 2: mass density 5.3 g cm⁻³. Number 3: mass density 9.1 g cm⁻³. Number 4: mass density 8.6 g cm⁻³. Number 5: mass density 5.4 g cm⁻³. Number 6: mass density 14.3 g cm⁻³. Number 7: mass density 3.0 g cm⁻³. Number 8: mass density 4.2 g cm⁻³. Number 9: mass density 6.8 g cm⁻³. Number 10: mass density 8.3 g cm⁻³. Number 11: mass density 9.7 g cm⁻³. Number 12: mass density 9.5 g cm⁻³. Number 13: mass density 6.7 g cm⁻³. Number 14: mass density 14.0 g cm⁻³. Number 15: mass density 6.0 g cm⁻³. Number 16: mass density 6.9 g cm⁻³. Number 17: mass density 8.7 g cm⁻³. Number 18: mass density 12.0 g cm⁻³. Number 19: mass density 5.9 g cm⁻³. Number 20: mass density 7.5 g cm⁻³.